(1)
A relaxed structure of PrZn10Ni2, computed with PBE-GGA.

Output
The density is 7.5 g cm⁻³. The calculation puts the formation energy at -0.228 eV per atom. As for the total energy: -2.47 eV/atom.

a b c (Å): 5.0140 12.6383 12.7410
angles (deg): 90.00 90.00 90.00
With the nearest neighbours (Å) after each atom.
Space group Fmmm (No. 69)
Unique sites:
Pr 0.0000 0.0000 0.0000 [4 per cell]  16 Zn 3.14-3.40, 4 Ni 3.42
Zn 0.0000 0.1069 0.3837 [16 per cell]  2 Ni 2.51, 6 Zn 2.65-2.75
Zn 0.0000 0.1669 0.1823 [16 per cell]  2 Ni 2.60, 6 Zn 2.68-2.84
Zn 0.2500 0.2500 0.0000 [8 per cell]  6 Zn 2.51-2.65
Ni 0.2500 0.0000 0.2500 [8 per cell]  2 Ni 2.51, 8 Zn 2.51-2.60

---

(2)
A relaxed structure of Pr6Zn3Ni, computed with PBE-GGA.

Output
The density is 6.6 g cm⁻³. The calculation puts the formation energy at -0.140 eV per atom. As for the total energy: -3.97 eV/atom.

a b c (Å): 5.2568 9.0087 12.7994
angles (deg): 90.00 114.21 90.00
With the nearest neighbours (Å) after each atom.
Space group P2_1/c (No. 14)
Unique sites:
Pr 0.0835 0.1602 0.0824 [4 per cell]  2 Ni 3.14-3.15, 3 Zn 3.21-3.52, 3 Pr 3.47-3.50
Pr 0.2588 0.5054 0.2599 [4 per cell]  1 Ni 2.80, 4 Zn 3.03-3.06
Pr 0.4174 0.1742 0.4166 [4 per cell]  1 Ni 3.09, 3 Zn 3.21-3.39
Zn 0.0000 0.0000 0.5000 [2 per cell]  8 Pr 3.03-3.22
Zn 0.2789 0.6563 0.7778 [4 per cell]  4 Pr 3.04-3.39
Ni 0.5000 0.0000 0.0000 [2 per cell]  4 Pr 2.80-3.09

---

(3)
A relaxed structure of Pr3ZnNi4, computed with PBE-GGA.

Output
The density is 7.0 g cm⁻³. The calculation puts the formation energy at -0.215 eV per atom. As for the total energy: -5.06 eV/atom.

a b c (Å): 4.2205 5.2331 15.4860
angles (deg): 90.00 90.00 90.00
With the nearest neighbours (Å) after each atom.
Space group Immm (No. 71)
Unique sites:
Pr 0.0000 0.0000 0.0000 [2 per cell]  8 Ni 3.06, 4 Zn 3.36
Pr 0.0000 0.5000 0.1944 [4 per cell]  6 Ni 2.80-3.07
Zn 0.0000 0.0000 0.5000 [2 per cell]  4 Ni 2.39
Ni 0.0000 0.2797 0.3778 [8 per cell]  1 Ni 2.31, 1 Zn 2.39

---

(4)
A relaxed structure of PrZn3Ni, computed with PBE-GGA.

Output
The density is 6.9 g cm⁻³. The calculation puts the formation energy at -0.261 eV per atom. As for the total energy: -3.14 eV/atom.

a b c (Å): 6.2493 9.1244 6.7300
angles (deg): 90.00 90.00 90.00
With the nearest neighbours (Å) after each atom.
Space group Imma (No. 74)
Unique sites:
Pr 0.0000 0.2500 0.0728 [4 per cell]  12 Zn 3.28-3.37
Zn 0.0000 0.2500 0.5731 [4 per cell]  2 Ni 2.33
Zn 0.2500 0.0403 0.7500 [8 per cell]  2 Ni 2.33
Ni 0.0000 0.0000 0.5000 [4 per cell]  6 Zn 2.33

---

(5)
A relaxed structure of PrZn4Ni, computed with PBE-GGA.

Output
The density is 5.6 g cm⁻³. The calculation puts the formation energy at 0.102 eV per atom. As for the total energy: -2.51 eV/atom.

a b c (Å): 4.4903 4.4903 6.7861
angles (deg): 90.00 90.00 90.00
With the nearest neighbours (Å) after each atom.
Space group P4/mmm (No. 123)
Unique sites:
Pr 0.0000 0.0000 0.0000 [1 per cell]  8 Zn 3.38
Zn 0.0000 0.5000 0.5000 [2 per cell]  2 Ni 2.25
Zn 0.5000 0.5000 0.1716 [2 per cell]  1 Ni 2.23, 1 Zn 2.33
Ni 0.5000 0.5000 0.5000 [1 per cell]  6 Zn 2.23-2.25

---

(6)
A relaxed structure of PrZnNi, computed with PBE-GGA.

Output
The density is 7.1 g cm⁻³. The calculation puts the formation energy at -0.328 eV per atom. As for the total energy: -4.27 eV/atom.

a b c (Å): 4.2817 4.2817 3.8892
angles (deg): 90.00 90.00 120.00
With the nearest neighbours (Å) after each atom.
Space group P-6m2 (No. 187)
Unique sites:
Pr 0.0000 0.0000 0.0000 [1 per cell]  6 Zn 3.15, 6 Ni 3.15
Zn 0.6667 0.3333 0.5000 [1 per cell]  3 Ni 2.47
Ni 0.3333 0.6667 0.5000 [1 per cell]  3 Zn 2.47

---

(7)
A relaxed structure of Pr3Zn4Ni4, computed with PBE-GGA.

Output
The density is 7.5 g cm⁻³. The calculation puts the formation energy at -0.330 eV per atom. As for the total energy: -4.20 eV/atom.

a b c (Å): 4.0834 7.2053 13.8404
angles (deg): 90.00 90.00 90.00
With the nearest neighbours (Å) after each atom.
Space group Immm (No. 71)
Unique sites:
Pr 0.0000 0.0000 0.0000 [2 per cell]  6 Ni 3.01-3.10
Pr 0.0000 0.5000 0.1290 [4 per cell]  6 Ni 2.95-3.00, 6 Zn 3.09
Zn 0.0000 0.3123 0.3300 [8 per cell]  4 Ni 2.54-2.74, 1 Zn 2.71
Ni 0.0000 0.0000 0.2173 [4 per cell]  6 Zn 2.54-2.74
Ni 0.0000 0.1764 0.5000 [4 per cell]  1 Ni 2.54, 2 Zn 2.55

---

(8)
A relaxed structure of Pr2Zn3Ni5, computed with PBE-GGA.

Output
The density is 7.7 g cm⁻³. The calculation puts the formation energy at -0.274 eV per atom. As for the total energy: -4.50 eV/atom.

a b c (Å): 9.8768 12.2112 5.5290
angles (deg): 90.00 90.00 90.00
With the nearest neighbours (Å) after each atom.
Space group Ibam (No. 72)
Unique sites:
Pr 0.2353 0.1262 0.0000 [8 per cell]  8 Ni 2.95-3.26, 4 Zn 3.11-3.27
Zn 0.0000 0.5000 0.2500 [4 per cell]  6 Ni 2.53, 2 Zn 2.76
Zn 0.0929 0.1446 0.5000 [8 per cell]  5 Ni 2.42-2.46
Ni 0.0000 0.0000 0.2500 [4 per cell]  4 Zn 2.42
Ni 0.0000 0.2930 0.2500 [8 per cell]  2 Ni 2.40, 3 Zn 2.46-2.53
Ni 0.1615 0.3861 0.0000 [8 per cell]  2 Ni 2.40, 3 Zn 2.45-2.53

---

(9)
A relaxed structure of Pr2ZnNi, computed with PBE-GGA.

Output
The density is 5.0 g cm⁻³. The calculation puts the formation energy at 0.164 eV per atom. As for the total energy: -3.99 eV/atom.

a b c (Å): 4.0834 4.0834 28.1500
angles (deg): 90.00 90.00 120.00
With the nearest neighbours (Å) after each atom.
Space group R-3m (No. 166, hexagonal axes)
Unique sites:
Pr 0.0000 0.0000 0.1137 [6 per cell]  3 Ni 2.79
Zn 0.0000 0.0000 0.0000 [3 per cell]  2 Pr 3.20
Ni 0.0000 0.0000 0.5000 [3 per cell]  6 Pr 2.79

---

(10)
A relaxed structure of Pr2Zn2Ni, computed with PBE-GGA.

Output
The density is 6.8 g cm⁻³. The calculation puts the formation energy at -0.308 eV per atom. As for the total energy: -3.89 eV/atom.

a b c (Å): 11.2593 3.9504 11.7442
angles (deg): 90.00 117.62 90.00
With the nearest neighbours (Å) after each atom.
Space group C2/m (No. 12)
Unique sites:
Pr 0.0685 0.0000 0.3574 [4 per cell]  2 Ni 2.92, 7 Zn 3.15-3.23
Pr 0.2075 0.0000 0.1182 [4 per cell]  2 Ni 2.91, 4 Zn 3.09-3.21
Zn 0.0088 0.5000 0.8836 [4 per cell]  1 Ni 2.60, 1 Zn 2.83
Zn 0.1248 0.5000 0.5864 [4 per cell]  2 Ni 2.49, 1 Zn 2.59
Ni 0.2309 0.5000 0.3097 [4 per cell]  3 Zn 2.49-2.60

---

(11)
A relaxed structure of Pr2Zn2Ni15, computed with PBE-GGA.

Output
The density is 8.5 g cm⁻³. The calculation puts the formation energy at -0.199 eV per atom. As for the total energy: -5.40 eV/atom.

a b c (Å): 8.4218 8.4218 12.2976
angles (deg): 90.00 90.00 120.00
With the nearest neighbours (Å) after each atom.
Space group R-3m (No. 166, hexagonal axes)
Unique sites:
Pr 0.0000 0.0000 0.1536 [6 per cell]  18 Ni 2.99-3.29, 1 Zn 3.04
Zn 0.0000 0.0000 0.4011 [6 per cell]  1 Zn 2.43, 6 Ni 2.57-2.60
Ni 0.0000 0.2936 0.5000 [18 per cell]  8 Ni 2.41-2.59
Ni 0.0000 0.5000 0.0000 [9 per cell]  8 Ni 2.41-2.42, 2 Zn 2.57
Ni 0.0032 0.5016 0.3443 [18 per cell]  8 Ni 2.42-2.59, 1 Zn 2.60

---

no.,magnetization (μB/f.u.)
1,0.000
2,0.000
3,0.000
4,0.000
5,0.000
6,0.000
7,0.000
8,0.000
9,0.000
10,0.000
11,3.789